*a*
Entry from the Alexandria database: a geometry-optimized Ag2Sb2Pd structure (PBE-GGA).

a = 7.045 Å, b = 7.045 Å, c = 4.497 Å
α = 90.00°, β = 90.00°, γ = 90.00°
Fractional coordinates of all 10 atoms:
Ag1 0.155 0.345 0.000
Ag2 0.345 0.845 0.000
Ag3 0.655 0.155 0.000
Ag4 0.845 0.655 0.000
Sb1 0.153 0.653 0.500
Sb2 0.347 0.153 0.500
Sb3 0.653 0.847 0.500
Sb4 0.847 0.347 0.500
Pd1 0.000 0.000 0.500
Pd2 0.500 0.500 0.500

Calculated values
Total magnetic moment (μB per formula unit): 0.000

=====

*b*
Entry from the Alexandria database: a geometry-optimized Ag2Sb2Pd structure (PBE-GGA).

a = 7.283 Å, b = 7.283 Å, c = 4.035 Å
α = 90.00°, β = 90.00°, γ = 90.00°
Fractional coordinates of all 10 atoms:
Ag1 0.136 0.364 0.000
Ag2 0.364 0.864 0.000
Ag3 0.636 0.136 0.000
Ag4 0.864 0.636 0.000
Sb1 0.172 0.672 0.500
Sb2 0.328 0.172 0.500
Sb3 0.672 0.828 0.500
Sb4 0.828 0.328 0.500
Pd1 0.000 0.000 0.000
Pd2 0.500 0.500 0.000

Calculated values
Total magnetic moment (μB per formula unit): 0.000

=====

*c*
Entry from the Alexandria database: a geometry-optimized Ag2Sb2Pd structure (PBE-GGA).

a = 8.437 Å, b = 8.437 Å, c = 8.437 Å
α = 154.49°, β = 154.49°, γ = 36.39°
Fractional coordinates of all 5 atoms:
Ag1 0.250 0.750 0.500
Ag2 0.750 0.250 0.500
Sb1 0.095 0.095 0.000
Sb2 0.905 0.905 0.000
Pd1 0.500 0.500 0.000

Calculated values
Total magnetic moment (μB per formula unit): 0.000

=====

Relative energies in meV per atom: *a* 0; *b* 89; *c* 123